{
  "formula": "DyBeGe2Rh",
  "functional": "PBE",
  "state": "optimized geometry",
  "e_tot_ev_per_cell": -28.040,
  "delta_e_f_ev_per_atom": -0.625,
  "lattice": [[-2.836, -2.650, 0.729], [2.406, -2.900, -1.184], [2.016, 2.225, 5.234]],
  "species": ["Dy", "Be", "Ge", "Ge", "Rh"],
  "fractional_positions": [[0.000, 0.000, 0.000], [0.250, 0.750, 0.500], [0.617, 0.617, 0.234], [0.383, 0.383, 0.766], [0.750, 0.250, 0.500]]
}